Record 1
! MnRhW2 | Alexandria | PBE-GGA | optimized geometry; values from VASP
&SYSTEM
  ibrav = 0, nat = 4, ntyp = 3
/
ATOMIC_SPECIES
Mn 54.94 Mn.upf
Rh 102.91 Rh.upf
W 183.84 W.upf
CELL_PARAMETERS angstrom
1.3847 0.7995 9.0317
-1.3847 0.7995 9.0317
0.0000 -1.5990 9.0317
ATOMIC_POSITIONS crystal
Mn 0.0000 0.0000 0.0000
Rh 0.5000 0.5000 0.5000
W 0.2499 0.2499 0.2499
W 0.7501 0.7501 0.7501
! relative energy among the computed polymorphs: 167 meV per atom
! total energy: -41.6 eV per cell
! energy of formation: 0.20 eV/atom



Record 2
! MnRhW2 | Alexandria | PBE-GGA | optimized geometry; values from VASP
&SYSTEM
  ibrav = 0, nat = 4, ntyp = 3
/
ATOMIC_SPECIES
Mn 54.94 Mn.upf
Rh 102.91 Rh.upf
W 183.84 W.upf
CELL_PARAMETERS angstrom
3.8446 0.0000 0.0000
0.0000 3.8446 0.0000
0.0000 0.0000 3.9492
ATOMIC_POSITIONS crystal
Mn 0.0000 0.0000 0.0000
Rh 0.5000 0.5000 0.0000
W 0.0000 0.5000 0.5000
W 0.5000 0.0000 0.5000
! relative energy among the computed polymorphs: 5 meV per atom
! total energy: -42.3 eV per cell
! energy of formation: 0.04 eV/atom



Record 3
! MnRh4W | Alexandria | PBE-GGA | optimized geometry; values from VASP
&SYSTEM
  ibrav = 0, nat = 6, ntyp = 3
/
ATOMIC_SPECIES
Mn 54.94 Mn.upf
Rh 102.91 Rh.upf
W 183.84 W.upf
CELL_PARAMETERS angstrom
0.0000 3.5773 3.5773
3.5773 0.0000 3.5773
3.5773 3.5773 0.0000
ATOMIC_POSITIONS crystal
Mn 0.0000 0.0000 0.0000
Rh 0.1238 0.6254 0.6254
Rh 0.6254 0.1238 0.6254
Rh 0.6254 0.6254 0.1238
Rh 0.6254 0.6254 0.6254
W 0.2500 0.2500 0.2500
! relative energy among the computed polymorphs: 363 meV per atom
! total energy: -50.2 eV per cell
! energy of formation: 0.22 eV/atom



Record 4
! MnRhW2 | Alexandria | PBE-GGA | optimized geometry; values from VASP
&SYSTEM
  ibrav = 0, nat = 4, ntyp = 3
/
ATOMIC_SPECIES
Mn 54.94 Mn.upf
Rh 102.91 Rh.upf
W 183.84 W.upf
CELL_PARAMETERS angstrom
4.6051 0.0000 0.0000
0.0000 4.6051 0.0000
0.0000 0.0000 2.7804
ATOMIC_POSITIONS crystal
Mn 0.0000 0.0000 0.0000
Rh 0.5000 0.5000 0.0000
W 0.0000 0.5000 0.5000
W 0.5000 0.0000 0.5000
! relative energy among the computed polymorphs: 209 meV per atom
! total energy: -41.4 eV per cell
! energy of formation: 0.25 eV/atom



> The highest energy of formation belongs to which entry?

number 4